{"formula": "TbThHgBi", "functional": "GGA-PBE", "state": "optimized geometry", "spacegroup": "No. 216", "magmom_total_mub_per_cell": 0.000, "formation_enthalpy_0k_ev_per_atom": -0.381, "lattice": [[0.000, 3.859, 3.859], [3.859, 0.000, 3.859], [3.859, 3.859, 0.000]], "species": ["Tb", "Th", "Hg", "Bi"], "frac_coords": [[0.000, 0.000, 0.000], [0.500, 0.500, 0.500], [0.250, 0.250, 0.250], [0.750, 0.750, 0.750]]}